Entry 1:
The following is a DFT calculation (PBE) of a geometry-optimized Cu2AsBr6 structure.

The structure belongs to space group C2/c (No. 15); the cell edges are 14.6583, 13.6427 and 7.3556 Å and the angles 90.00°, 112.51° and 90.00°. Symmetry generates all atoms from Cu at (0.2286, 0.0307, 0.3047), As at (0.0000, 0.3930, 0.2500), Br at (0.1096, 0.2830, 0.1860), Br at (0.1147, 0.4091, 0.6468) and Br at (0.1279, 0.0096, 0.9676).

For the raw total energy, the calculation gives -103.647 eV/cell. The calculation puts the density of states at the Fermi level at 15.2 states/eV per cell. As for the crystal system: monoclinic.


Entry 2:
The following is a DFT calculation (PBE) of a geometry-optimized CuAsBr2 structure.

The structure belongs to space group I-42d (No. 122); the cell edges are 7.1695, 7.1695 and 7.1784 Å and the angles 90.00°, 90.00° and 90.00°. Symmetry generates all atoms from Cu at (0.0000, 0.0000, 0.0000), As at (0.0000, 0.0000, 0.5000) and Br at (0.2148, 0.2500, 0.1250).

For the raw total energy, the calculation gives -43.627 eV/cell. The calculation puts the density of states at the Fermi level at 4.9 states/eV per cell. As for the crystal system: tetragonal.


Entry 3:
The following is a DFT calculation (PBE) of a geometry-optimized Cu2AsBr structure.

The structure belongs to space group R-3m (No. 166, hexagonal axes); the cell edges are 3.5299, 3.5299 and 19.8964 Å and the angles 90.00°, 90.00° and 120.00°. Symmetry generates all atoms from Cu at (0.0000, 0.0000, 0.2410), As at (0.0000, 0.0000, 0.5000) and Br at (0.0000, 0.0000, 0.0000).

For the raw total energy, the calculation gives -42.916 eV/cell. The calculation puts the density of states at the Fermi level at 6.9 states/eV per cell. As for the crystal system: trigonal.


Entry 4:
The following is a DFT calculation (PBE) of a geometry-optimized CuAsBr2 structure.

The structure belongs to space group C2/m (No. 12); the cell edges are 7.6329, 7.6391 and 3.3727 Å and the angles 90.00°, 90.17° and 90.00°. Symmetry generates all atoms from Cu at (0.0000, 0.0000, 0.0000), As at (0.0000, 0.5000, 0.0000) and Br at (0.2500, 0.2500, 0.0000).

For the raw total energy, the calculation gives -22.127 eV/cell. The calculation puts the density of states at the Fermi level at 3.3 states/eV per cell. As for the crystal system: monoclinic.


Entry 5:
The following is a DFT calculation (PBE) of a geometry-optimized CuAs2Br2 structure.

The structure belongs to space group I4/mmm (No. 139); the cell edges are 3.6293, 3.6293 and 18.0703 Å and the angles 90.00°, 90.00° and 90.00°. Symmetry generates all atoms from Cu at (0.0000, 0.0000, 0.0000), As at (0.0000, 0.5000, 0.2500) and Br at (0.0000, 0.0000, 0.4143).

For the raw total energy, the calculation gives -30.042 eV/cell. The calculation puts the density of states at the Fermi level at 8.2 states/eV per cell. As for the crystal system: tetragonal.


Entry 6:
The following is a DFT calculation (PBE) of a geometry-optimized CuAsBr2 structure.

The structure belongs to space group F-43m (No. 216); the cell edges are 6.9993, 6.9993 and 6.9993 Å and the angles 90.00°, 90.00° and 90.00°. Symmetry generates all atoms from Cu at (0.0000, 0.0000, 0.0000), As at (0.2500, 0.2500, 0.7500), Br at (0.0000, 0.0000, 0.5000) and Br at (0.2500, 0.2500, 0.2500).

For the raw total energy, the calculation gives -37.241 eV/cell. The calculation puts the density of states at the Fermi level at 10.1 states/eV per cell. As for the crystal system: cubic.


Entry 7:
The following is a DFT calculation (PBE) of a geometry-optimized Cu2AsBr structure.

The structure belongs to space group Imm2 (No. 44); the cell edges are 3.2647, 3.4293 and 13.3243 Å and the angles 90.00°, 90.00° and 90.00°. Symmetry generates all atoms from Cu at (0.0000, 0.0000, 0.0000), Cu at (0.0000, 0.5000, 0.2129), As at (0.0000, 0.5000, 0.6394) and Br at (0.0000, 0.0000, 0.3902).

For the raw total energy, the calculation gives -27.987 eV/cell. The calculation puts the density of states at the Fermi level at 2.9 states/eV per cell. As for the crystal system: orthorhombic.


Entry 8:
The following is a DFT calculation (PBE) of a geometry-optimized Cu4AsBr2 structure.

The structure belongs to space group I4/mmm (No. 139); the cell edges are 4.5814, 4.5814 and 14.4913 Å and the angles 90.00°, 90.00° and 90.00°. Symmetry generates all atoms from Cu at (0.0000, 0.0000, 0.1618), Cu at (0.0000, 0.5000, 0.0000), As at (0.0000, 0.0000, 0.0000) and Br at (0.0000, 0.0000, 0.3228).

For the raw total energy, the calculation gives -46.561 eV/cell. The calculation puts the density of states at the Fermi level at 17.4 states/eV per cell. As for the crystal system: tetragonal.


Entry 9:
The following is a DFT calculation (PBE) of a geometry-optimized Cu5As3Br12 structure.

The structure belongs to space group Ia-3d (No. 230); the cell edges are 16.1602, 16.1602 and 16.1602 Å and the angles 90.00°, 90.00° and 90.00°. Symmetry generates all atoms from Cu at (0.0000, 0.0000, 0.0000), Cu at (0.0000, 0.2500, 0.3750), As at (0.0000, 0.2500, 0.1250) and Br at (0.0157, 0.0454, 0.6564).

For the raw total energy, the calculation gives -446.721 eV/cell. The calculation puts the density of states at the Fermi level at 65.3 states/eV per cell. As for the crystal system: cubic.


Entry 10:
The following is a DFT calculation (PBE) of a geometry-optimized Cu2AsBr structure.

The structure belongs to space group Fm-3m (No. 225); the cell edges are 6.5103, 6.5103 and 6.5103 Å and the angles 90.00°, 90.00° and 90.00°. Symmetry generates all atoms from Cu at (0.2500, 0.2500, 0.2500), As at (0.0000, 0.0000, 0.0000) and Br at (0.0000, 0.0000, 0.5000).

For the raw total energy, the calculation gives -47.997 eV/cell. The calculation puts the density of states at the Fermi level at 26.1 states/eV per cell. As for the crystal system: cubic.


Entry 11:
The following is a DFT calculation (PBE) of a geometry-optimized CuAsBr2 structure.

The structure belongs to space group Pm (No. 6); the cell edges are 4.6879, 3.6474 and 6.4049 Å and the angles 90.00°, 107.01° and 90.00°. Symmetry generates all atoms from Cu at (0.0000, 0.0000, 0.0000), As at (0.6477, 0.5000, 0.8960), Br at (0.1231, 0.0000, 0.6431) and Br at (0.3908, 0.5000, 0.1858).

For the raw total energy, the calculation gives -12.169 eV/cell. The calculation puts the density of states at the Fermi level at 1.5 states/eV per cell. As for the crystal system: monoclinic.


Entry 12:
The following is a DFT calculation (PBE) of a geometry-optimized CuAsBr4 structure.

The structure belongs to space group C2/c (No. 15); the cell edges are 7.9267, 18.2495 and 6.4846 Å and the angles 90.00°, 127.41° and 90.00°. Symmetry generates all atoms from Cu at (0.0000, 0.1357, 0.2500), As at (0.0000, 0.3141, 0.7500), Br at (0.2172, 0.4157, 0.7299) and Br at (0.2293, 0.1988, 0.7282).

For the raw total energy, the calculation gives -69.434 eV/cell. As for the crystal system: monoclinic.


Number 1: spin magnetization 0.000 μB per formula unit. Number 2: spin magnetization 0.000 μB per formula unit. Number 3: spin magnetization 0.000 μB per formula unit. Number 4: spin magnetization 0.000 μB per formula unit. Number 5: spin magnetization 0.000 μB per formula unit. Number 6: spin magnetization 0.000 μB per formula unit. Number 7: spin magnetization 0.000 μB per formula unit. Number 8: spin magnetization 0.000 μB per formula unit. Number 9: spin magnetization 0.000 μB per formula unit. Number 10: spin magnetization 0.000 μB per formula unit. Number 11: spin magnetization 0.000 μB per formula unit. Number 12: spin magnetization 0.000 μB per formula unit.